(1)
{
  "formula": "TbDyCd",
  "functional": "PBE",
  "state": "relaxed",
  "magnetic_moment_mub_per_cell": 0.00,
  "crystal_system": "trigonal",
  "dos_at_fermi_per_ev_fu": 3.82,
  "de_polymorph_ev_per_fu": 0.35,
  "e_tot_ev_per_cell": -10.4,
  "ef_ev_per_atom": -0.078,
  "lattice": [[5.253, 0.000, 0.000], [-2.626, 4.549, 0.000], [0.000, 0.000, 3.566]],
  "species": ["Tb", "Dy", "Cd"],
  "frac_coords": [[0.000, 0.000, 0.000], [0.667, 0.333, 0.441], [0.333, 0.667, 0.711]]
}



(2)
{
  "formula": "CrSb4W",
  "functional": "PBE",
  "state": "relaxed",
  "magnetic_moment_mub_per_cell": 1.21,
  "crystal_system": "cubic",
  "formation_energy_uncorrected_ev_per_atom": 1.32,
  "dos_at_fermi_per_ev_fu": 4.15,
  "e_tot_ev_per_cell": -31.1,
  "lattice": [[0.000, 4.281, 4.281], [4.281, 0.000, 4.281], [4.281, 4.281, 0.000]],
  "species": ["Cr", "Sb", "Sb", "Sb", "Sb", "W"],
  "frac_coords": [[0.000, 0.000, 0.000], [0.124, 0.625, 0.625], [0.625, 0.124, 0.625], [0.625, 0.625, 0.124], [0.625, 0.625, 0.625], [0.250, 0.250, 0.250]]
}



(3)
{
  "formula": "RbCd3Ag4Cl12",
  "functional": "PBE",
  "state": "relaxed",
  "magnetic_moment_mub_per_cell": 0.00,
  "crystal_system": "trigonal",
  "formation_energy_uncorrected_ev_per_atom": -0.83,
  "dos_at_fermi_per_ev_fu": 12.72,
  "e_tot_ev_per_cell": -53.9,
  "lattice": [[7.175, 4.142, 3.368], [-7.175, 4.142, 3.368], [0.000, -8.285, 3.368]],
  "species": ["Rb", "Cd", "Cd", "Cd", "Ag", "Ag", "Ag", "Ag", "Cl", "Cl", "Cl", "Cl", "Cl", "Cl", "Cl", "Cl", "Cl", "Cl", "Cl", "Cl"],
  "frac_coords": [[0.000, 0.000, 0.000], [0.000, 0.580, 0.420], [0.420, 0.000, 0.580], [0.580, 0.420, 0.000], [0.105, 0.500, 0.895], [0.500, 0.500, 0.500], [0.500, 0.895, 0.105], [0.895, 0.105, 0.500], [0.009, 0.652, 0.735], [0.083, 0.917, 0.500], [0.265, 0.348, 0.991], [0.327, 0.673, 0.500], [0.348, 0.991, 0.265], [0.500, 0.083, 0.917], [0.500, 0.327, 0.673], [0.652, 0.735, 0.009], [0.673, 0.500, 0.327], [0.735, 0.009, 0.652], [0.917, 0.500, 0.083], [0.991, 0.265, 0.348]]
}



(4)
{
  "formula": "Pr2Cu3Hg",
  "functional": "PBE",
  "state": "relaxed",
  "magnetic_moment_mub_per_cell": 0.00,
  "crystal_system": "orthorhombic",
  "dos_at_fermi_per_ev_fu": 2.89,
  "de_polymorph_ev_per_fu": 0.03,
  "e_tot_ev_per_cell": -23.5,
  "ef_ev_per_atom": -0.224,
  "lattice": [[-2.012, 2.016, 8.317], [2.012, -2.016, 8.317], [2.012, 2.016, -8.317]],
  "species": ["Pr", "Pr", "Cu", "Cu", "Cu", "Hg"],
  "frac_coords": [[0.000, 0.000, 0.000], [0.774, 0.274, 0.500], [0.201, 0.701, 0.500], [0.349, 0.849, 0.500], [0.432, 0.432, 0.000], [0.600, 0.600, 0.000]]
}